CoPdSO: optimized geometry, PBE+U.

a b c (Å): 6.114 6.438 12.179
angles (deg): 90.00 90.00 90.00
Last column: magnetic moment on the atom in μB.
Positions (direct):
Pd  0.726  0.465  0.064  0.04
Co  0.458  0.643  0.722  2.65
O  0.721  0.106  0.251  0.18
S  0.497  0.229  0.974  0.03
S  0.997  0.771  0.526  0.03
Co  0.458  0.143  0.778  2.65
O  0.221  0.894  0.249  0.18
S  0.997  0.271  0.974  0.03
O  0.779  0.606  0.749  0.18
Pd  0.226  0.035  0.064  0.04
Pd  0.774  0.965  0.936  0.04
O  0.721  0.606  0.249  0.18
O  0.279  0.894  0.749  0.18
Co  0.958  0.357  0.778  2.65
Co  0.042  0.143  0.278  2.65
O  0.279  0.394  0.751  0.18
S  0.497  0.729  0.526  0.03
O  0.221  0.394  0.251  0.18
Pd  0.774  0.465  0.564  0.04
Co  0.958  0.857  0.722  2.65
Pd  0.726  0.965  0.437  0.04
S  0.503  0.271  0.474  0.03
O  0.779  0.106  0.751  0.18
Co  0.042  0.643  0.222  2.65
Pd  0.226  0.535  0.437  0.04
S  0.503  0.771  0.026  0.03
Pd  0.274  0.035  0.564  0.04
Pd  0.274  0.535  0.936  0.04
S  0.003  0.729  0.026  0.03
Co  0.542  0.857  0.222  2.65
S  0.003  0.229  0.474  0.03
Co  0.542  0.357  0.278  2.65

Output
- Symmetry: Pbca, No. 61
- Excess energy over the best structure of this formula in the dataset: 57 meV per atom